Li3VF5: relaxed, PBE with a Hubbard U.

```
72
Lattice="5.803 0.000 0.000 0.000 11.547 0.000 0.000 0.000 11.878" Properties=species:S:1:pos:R:3 pbc="T T T"
Li 5.699 3.733 3.787
Li 5.699 2.041 9.726
Li 0.899 0.808 6.695
Li 0.899 4.965 0.756
Li 1.427 6.333 3.758
Li 1.427 10.987 9.696
Li 1.475 0.559 3.758
Li 1.475 5.214 9.696
Li 2.003 10.738 0.756
Li 2.003 6.582 6.695
Li 3.005 7.814 9.726
Li 3.005 9.506 3.787
Li 2.798 3.733 2.152
Li 2.798 2.041 8.091
Li 3.800 4.965 5.183
Li 3.800 0.808 11.122
Li 4.328 6.333 2.181
Li 4.328 10.987 8.120
Li 4.376 5.214 8.120
Li 4.376 0.559 2.181
Li 4.904 6.582 11.122
Li 4.904 10.738 5.183
Li 0.103 9.506 2.152
Li 0.103 7.814 8.091
V 1.167 1.955 0.877
V 1.167 3.818 6.815
V 1.735 7.728 0.877
V 1.735 9.592 6.815
V 4.068 1.955 5.062
V 4.068 3.818 11.001
V 4.636 7.728 5.062
V 4.636 9.592 11.001
F 5.742 7.558 1.867
F 5.742 9.762 7.806
F 0.719 7.892 5.972
F 0.719 9.428 0.033
F 0.564 5.605 7.898
F 0.564 0.168 1.959
F 0.841 3.626 2.201
F 0.841 2.147 8.139
F 1.838 0.616 11.247
F 1.838 5.157 5.308
F 1.063 6.389 11.247
F 1.063 10.931 5.308
F 2.061 9.400 2.201
F 2.061 7.920 8.139
F 2.337 11.378 7.898
F 2.337 5.941 1.959
F 2.182 2.119 5.972
F 2.182 3.654 0.033
F 2.962 1.785 1.867
F 2.962 3.989 7.806
F 2.840 9.762 10.010
F 2.840 7.558 4.071
F 3.621 7.892 11.844
F 3.621 9.428 5.905
F 3.465 5.605 9.918
F 3.465 0.168 3.979
F 3.742 2.147 9.677
F 3.742 3.626 3.738
F 4.739 5.157 0.631
F 4.739 0.616 6.569
F 3.965 6.389 6.569
F 3.965 10.931 0.631
F 4.962 9.400 3.738
F 4.962 7.920 9.677
F 5.239 5.941 3.979
F 5.239 11.378 9.918
F 5.083 3.654 5.905
F 5.083 2.119 11.844
F 0.061 1.785 4.071
F 0.061 3.989 10.010
```

Calculated values
Its space-group type is No. 61. The total DFT energy (no corrections) is -379.9 eV for the cell shown.